(1)
The following is a SCAN calculation of a PBEsol-optimized structure of Be2CoIr, from Alexandria.

CIF file:
```
data_Be2CoIr
_chemical_formula_sum 'Be2 Co1 Ir1'
_cell_length_a 2.815
_cell_length_b 3.545
_cell_length_c 4.110
_cell_angle_alpha 90.00
_cell_angle_beta 90.00
_cell_angle_gamma 90.00
_space_group_name_H-M_alt 'P 1'
_space_group_IT_number 1
_space_group_name_Hall 'P 1'
loop_
_atom_site_label
_atom_site_type_symbol
_atom_site_fract_x
_atom_site_fract_y
_atom_site_fract_z
Be1 Be 0.000 0.000 0.000
Be2 Be 0.500 0.000 0.500
Co1 Co 0.000 0.500 0.500
Ir1 Ir 0.500 0.500 0.000
```

Values from the calculation:
Symmetry: Pmmm, No. 47
Volume: 10.253 Å³/atom
E: -98.50 eV for the cell shown
N(E_F): 1.9 states/eV per cell
Calculated formation energy: -0.3465 eV/atom
Polymorph energy (0 for the lowest one): 213.8 meV per atom

***

(2)
The following is a SCAN calculation of a PBEsol-optimized structure of Be2CoIr, from Alexandria.

CIF file:
```
data_Be2CoIr
_chemical_formula_sum 'Be2 Co1 Ir1'
_cell_length_a 4.293
_cell_length_b 4.293
_cell_length_c 4.293
_cell_angle_alpha 141.53
_cell_angle_beta 122.79
_cell_angle_gamma 71.07
_space_group_name_H-M_alt 'P 1'
_space_group_IT_number 1
_space_group_name_Hall 'P 1'
loop_
_atom_site_label
_atom_site_type_symbol
_atom_site_fract_x
_atom_site_fract_y
_atom_site_fract_z
Be1 Be 0.239 0.239 0.000
Be2 Be 0.761 0.761 0.000
Co1 Co 0.000 0.500 0.500
Ir1 Ir 0.500 0.000 0.500
```

Values from the calculation:
Symmetry: Immm, No. 71
Volume: 10.158 Å³/atom
E: -98.56 eV for the cell shown
N(E_F): 2.0 states/eV per cell
Calculated formation energy: -0.3633 eV/atom
Polymorph energy (0 for the lowest one): 197.0 meV per atom

***

Repeat the first record exactly.
The following is a SCAN calculation of a PBEsol-optimized structure of Be2CoIr, from Alexandria.

CIF file:
```
data_Be2CoIr
_chemical_formula_sum 'Be2 Co1 Ir1'
_cell_length_a 2.815
_cell_length_b 3.545
_cell_length_c 4.110
_cell_angle_alpha 90.00
_cell_angle_beta 90.00
_cell_angle_gamma 90.00
_space_group_name_H-M_alt 'P 1'
_space_group_IT_number 1
_space_group_name_Hall 'P 1'
loop_
_atom_site_label
_atom_site_type_symbol
_atom_site_fract_x
_atom_site_fract_y
_atom_site_fract_z
Be1 Be 0.000 0.000 0.000
Be2 Be 0.500 0.000 0.500
Co1 Co 0.000 0.500 0.500
Ir1 Ir 0.500 0.500 0.000
```

Values from the calculation:
Symmetry: Pmmm, No. 47
Volume: 10.253 Å³/atom
E: -98.50 eV for the cell shown
N(E_F): 1.9 states/eV per cell
Calculated formation energy: -0.3465 eV/atom
Polymorph energy (0 for the lowest one): 213.8 meV per atom

***

> Which value of volume does entry 1 give?

10.253 Å³/atom

***

Repeat the first record exactly.
The following is a SCAN calculation of a PBEsol-optimized structure of Be2CoIr, from Alexandria.

CIF file:
```
data_Be2CoIr
_chemical_formula_sum 'Be2 Co1 Ir1'
_cell_length_a 2.815
_cell_length_b 3.545
_cell_length_c 4.110
_cell_angle_alpha 90.00
_cell_angle_beta 90.00
_cell_angle_gamma 90.00
_space_group_name_H-M_alt 'P 1'
_space_group_IT_number 1
_space_group_name_Hall 'P 1'
loop_
_atom_site_label
_atom_site_type_symbol
_atom_site_fract_x
_atom_site_fract_y
_atom_site_fract_z
Be1 Be 0.000 0.000 0.000
Be2 Be 0.500 0.000 0.500
Co1 Co 0.000 0.500 0.500
Ir1 Ir 0.500 0.500 0.000
```

Values from the calculation:
Symmetry: Pmmm, No. 47
Volume: 10.253 Å³/atom
E: -98.50 eV for the cell shown
N(E_F): 1.9 states/eV per cell
Calculated formation energy: -0.3465 eV/atom
Polymorph energy (0 for the lowest one): 213.8 meV per atom